# 1
PBE-GGA BaNa2TcO4, relaxed; total energy = -5.993 eV/atom; SG = Imma (74)
1.0
-3.484 4.272 4.233
3.484 -4.272 4.233
3.484 4.272 -4.233
Ba Na Tc O
2 4 2 8
Direct
0.000 0.000 0.000 Ba
0.500 0.000 0.500 Ba
0.000 0.500 0.500 Na
0.500 0.000 0.000 Na
0.500 0.500 0.000 Na
0.500 0.500 0.500 Na
0.000 0.000 0.500 Tc
0.000 0.500 0.000 Tc
0.226 0.000 0.726 O
0.226 0.500 0.226 O
0.228 0.227 0.499 O
0.228 0.729 0.001 O
0.772 0.271 0.999 O
0.772 0.773 0.501 O
0.774 0.000 0.274 O
0.774 0.500 0.774 O

***

# 2
PBE-GGA Pa2AlHg, relaxed; formation energy from the elements = -11.2 meV/atom; excess energy over the best structure of this formula in the dataset = 0.0390 eV per atom; total energy = -5.770 eV/atom; SG = P4/mmm (123)
1.0
4.358 0.000 0.000
0.000 4.358 0.000
0.000 0.000 4.774
Pa Al Hg
2 1 1
Direct
0.000 0.500 0.000 Pa
0.500 0.000 0.000 Pa
0.000 0.000 0.500 Al
0.500 0.500 0.500 Hg

***

# 3
PBE-GGA SiIrRu4, relaxed; total energy = -7.842 eV/atom; SG = F-43m (216)
1.0
0.000 3.557 3.557
3.557 0.000 3.557
3.557 3.557 0.000
Si Ir Ru
1 1 4
Direct
0.000 0.000 0.000 Si
0.250 0.250 0.250 Ir
0.127 0.624 0.624 Ru
0.624 0.127 0.624 Ru
0.624 0.624 0.127 Ru
0.624 0.624 0.624 Ru

***

# 4
PBE-GGA AlSb4W, relaxed; total energy = -4.333 eV/atom; SG = F-43m (216)
1.0
0.000 4.323 4.323
4.323 0.000 4.323
4.323 4.323 0.000
Al Sb W
1 4 1
Direct
0.000 0.000 0.000 Al
0.124 0.625 0.625 Sb
0.625 0.124 0.625 Sb
0.625 0.625 0.124 Sb
0.625 0.625 0.625 Sb
0.250 0.250 0.250 W

***

# 5
PBE-GGA HfMnFe3, relaxed; formation energy from the elements = 674.8 meV/atom; excess energy over the best structure of this formula in the dataset = 0.0000 eV per atom; total energy = -8.227 eV/atom; SG = Pm-3m (221)
1.0
4.172 0.000 0.000
0.000 4.172 0.000
0.000 0.000 4.172
Hf Mn Fe
1 1 3
Direct
0.000 0.000 0.000 Hf
0.500 0.500 0.500 Mn
0.000 0.500 0.500 Fe
0.500 0.000 0.500 Fe
0.500 0.500 0.000 Fe

***

# 6
PBE-GGA KSr2Te, relaxed; total energy = -2.635 eV/atom; SG = R3m (160)
1.0
2.269 1.310 11.707
-2.269 1.310 11.707
0.000 -2.620 11.707
K Sr Te
1 2 1
Direct
0.000 0.000 0.000 K
0.225 0.225 0.225 Sr
0.442 0.442 0.442 Sr
0.834 0.834 0.834 Te

***

# 7
PBE-GGA Ac5GaSn2, relaxed; formation energy from the elements = -348.3 meV/atom; excess energy over the best structure of this formula in the dataset = 0.1816 eV per atom; total energy = -4.295 eV/atom; SG = I4mm (107)
1.0
-3.805 3.805 4.850
3.805 -3.805 4.850
3.805 3.805 -4.850
Ac Ga Sn
5 1 2
Direct
0.000 0.000 0.000 Ac
0.000 0.000 0.499 Ac
0.000 0.500 0.000 Ac
0.500 0.000 0.000 Ac
0.500 0.500 0.501 Ac
0.499 0.499 0.000 Ga
0.000 0.500 0.500 Sn
0.500 0.000 0.500 Sn

***

# 8
PBE-GGA Tl2InSe, relaxed; excess energy over the best structure of this formula in the dataset = 0.0545 eV per atom; total energy = -2.913 eV/atom; SG = Immm (71)
1.0
-2.163 2.410 5.734
2.163 -2.410 5.734
2.163 2.410 -5.734
Tl In Se
2 1 1
Direct
0.203 0.203 0.000 Tl
0.797 0.797 0.000 Tl
0.500 0.000 0.500 In
0.000 0.500 0.500 Se

***

# 9
PBE-GGA SrTl2In, relaxed; formation energy from the elements = -155.7 meV/atom; total energy = -2.444 eV/atom; SG = C2/m (12)
1.0
3.466 -5.818 0.000
3.466 5.818 0.000
-1.755 0.000 3.185
Sr Tl In
1 2 1
Direct
0.000 0.000 0.000 Sr
0.000 0.500 0.500 Tl
0.500 0.000 0.500 Tl
0.500 0.500 0.000 In

***

# 10
PBE-GGA Sr2CoCuTc, relaxed; formation energy from the elements = 707.6 meV/atom; total energy = -4.279 eV/atom; SG = P4/mmm (123)
1.0
5.757 0.000 0.000
0.000 5.757 0.000
0.000 0.000 4.327
Sr Co Cu Tc
2 1 1 1
Direct
0.000 0.500 0.000 Sr
0.500 0.000 0.000 Sr
0.000 0.000 0.000 Co
0.500 0.500 0.500 Cu
0.000 0.000 0.500 Tc

***

# 11
PBE-GGA DyPu2Sn, relaxed; formation energy from the elements = -304.6 meV/atom; excess energy over the best structure of this formula in the dataset = 0.0000 eV per atom; total energy = -9.622 eV/atom; SG = P4/mmm (123)
1.0
4.558 0.000 0.000
0.000 4.558 0.000
0.000 0.000 5.113
Dy Pu Sn
1 2 1
Direct
0.000 0.000 0.000 Dy
0.000 0.500 0.500 Pu
0.500 0.000 0.500 Pu
0.500 0.500 0.000 Sn

***

# 12
PBE-GGA Tb2Pr2Er, relaxed; formation energy from the elements = 136.8 meV/atom; excess energy over the best structure of this formula in the dataset = 0.1126 eV per atom; total energy = -4.540 eV/atom; SG = Imma (74)
1.0
-1.832 2.885 16.003
1.832 -2.885 16.003
1.832 2.885 -16.003
Tb Pr Er
4 4 2
Direct
0.041 0.291 0.750 Tb
0.446 0.196 0.250 Tb
0.554 0.804 0.750 Tb
0.959 0.709 0.250 Tb
0.129 0.879 0.250 Pr
0.228 0.978 0.250 Pr
0.772 0.022 0.750 Pr
0.871 0.121 0.750 Pr
0.331 0.581 0.750 Er
0.669 0.419 0.250 Er